No. 1
The following is a GGA-PBEsol calculation of a relaxed MnSbN2O crystal, from the Alexandria database.

Summary:
As for the uncorrected formation energy: 611 meV per atom. The value obtained for the calculated volume is 12.45 A^3/atom. As for the total energy: -33.57 eV/cell.

abc: 3.994 3.994 3.902
angles: 90.00 90.00 90.00
Sites, in units of the cell vectors:
Mn (0.000, 0.000, 0.000)
Sb (0.500, 0.500, 0.500)
N (0.000, 0.500, 0.500)
N (0.500, 0.000, 0.500)
O (0.500, 0.500, 0.000)


No. 2
The following is a GGA-PBEsol calculation of a relaxed MnSeN2O crystal, from the Alexandria database.

Summary:
As for the uncorrected formation energy: 605 meV per atom. The value obtained for the calculated volume is 11.83 A^3/atom. As for the total energy: -32.89 eV/cell.

abc: 3.408 3.408 5.093
angles: 90.00 90.00 90.00
Sites, in units of the cell vectors:
Mn (0.000, 0.000, 0.000)
Se (0.000, 0.000, 0.500)
N (0.000, 0.500, 0.000)
N (0.500, 0.000, 0.000)
O (0.500, 0.500, 0.500)


No. 3
The following is a GGA-PBEsol calculation of a relaxed MnSiN2O crystal, from the Alexandria database.

Summary:
As for the uncorrected formation energy: -326 meV per atom. The value obtained for the calculated volume is 8.94 A^3/atom. As for the total energy: -39.44 eV/cell.

abc: 3.612 3.612 3.427
angles: 90.00 90.00 90.00
Sites, in units of the cell vectors:
Mn (0.000, 0.000, 0.000)
Si (0.500, 0.500, 0.500)
N (0.000, 0.500, 0.500)
N (0.500, 0.000, 0.500)
O (0.500, 0.500, 0.000)


No. 4
The following is a GGA-PBEsol calculation of a relaxed MnTlNO2 crystal, from the Alexandria database.

Summary:
As for the uncorrected formation energy: -410 meV per atom. The value obtained for the calculated volume is 10.84 A^3/atom. As for the total energy: -33.46 eV/cell.

abc: 3.849 3.849 3.657
angles: 90.00 90.00 90.00
Sites, in units of the cell vectors:
Mn (0.000, 0.000, 0.000)
Tl (0.500, 0.500, 0.500)
N (0.000, 0.000, 0.500)
O (0.000, 0.500, 0.000)
O (0.500, 0.000, 0.000)


No. 5
The following is a GGA-PBEsol calculation of a relaxed MnOsSe2N crystal, from the Alexandria database.

Summary:
As for the uncorrected formation energy: 506 meV per atom. The value obtained for the calculated volume is 18.51 A^3/atom. As for the total energy: -35.68 eV/cell.

abc: 5.040 5.040 3.642
angles: 90.00 90.00 90.00
Sites, in units of the cell vectors:
Mn (0.000, 0.000, 0.000)
Os (0.500, 0.500, 0.500)
Se (0.000, 0.500, 0.500)
Se (0.500, 0.000, 0.500)
N (0.500, 0.500, 0.000)


No. 6
The following is a GGA-PBEsol calculation of a relaxed MnPSN2 crystal, from the Alexandria database.

Summary:
As for the uncorrected formation energy: 688 meV per atom. The value obtained for the calculated volume is 12.02 A^3/atom. As for the total energy: -33.55 eV/cell.

abc: 3.529 3.529 4.828
angles: 90.00 90.00 90.00
Sites, in units of the cell vectors:
Mn (0.000, 0.000, 0.000)
P (0.500, 0.500, 0.500)
S (0.000, 0.000, 0.500)
N (0.000, 0.500, 0.000)
N (0.500, 0.000, 0.000)


No. 7
The following is a GGA-PBEsol calculation of a relaxed MnPdSN2 crystal, from the Alexandria database.

Summary:
As for the uncorrected formation energy: 1271 meV per atom. The value obtained for the calculated volume is 14.42 A^3/atom. As for the total energy: -30.80 eV/cell.

abc: 3.771 3.771 5.069
angles: 90.00 90.00 90.00
Sites, in units of the cell vectors:
Mn (0.000, 0.000, 0.000)
Pd (0.500, 0.500, 0.500)
S (0.500, 0.500, 0.000)
N (0.000, 0.500, 0.500)
N (0.500, 0.000, 0.500)


No. 8
The following is a GGA-PBEsol calculation of a relaxed Ta2MnPdN crystal, from the Alexandria database.

Summary:
As for the uncorrected formation energy: -262 meV per atom. The value obtained for the calculated volume is 14.11 A^3/atom. As for the total energy: -50.66 eV/cell.

abc: 4.139 4.139 4.118
angles: 90.00 90.00 90.00
Sites, in units of the cell vectors:
Ta (0.000, 0.500, 0.000)
Ta (0.500, 0.000, 0.000)
Mn (0.000, 0.000, 0.500)
Pd (0.500, 0.500, 0.500)
N (0.500, 0.500, 0.000)


No. 9
The following is a GGA-PBEsol calculation of a relaxed YMnPd2N crystal, from the Alexandria database.

Summary:
As for the uncorrected formation energy: -84 meV per atom. The value obtained for the calculated volume is 16.43 A^3/atom. As for the total energy: -37.45 eV/cell.

abc: 4.823 4.823 3.532
angles: 90.00 90.00 90.00
Sites, in units of the cell vectors:
Y (0.000, 0.000, 0.000)
Mn (0.500, 0.500, 0.500)
Pd (0.000, 0.500, 0.500)
Pd (0.500, 0.000, 0.500)
N (0.500, 0.500, 0.000)


No. 10
The following is a GGA-PBEsol calculation of a relaxed MnTePtN2 crystal, from the Alexandria database.

Summary:
As for the uncorrected formation energy: 644 meV per atom. The value obtained for the calculated volume is 14.67 A^3/atom. As for the total energy: -34.08 eV/cell.

abc: 3.627 3.627 5.575
angles: 90.00 90.00 90.00
Sites, in units of the cell vectors:
Mn (0.000, 0.000, 0.000)
Te (0.000, 0.000, 0.500)
Pt (0.500, 0.500, 0.500)
N (0.000, 0.500, 0.000)
N (0.500, 0.000, 0.000)


No. 11
The following is a GGA-PBEsol calculation of a relaxed RbMnN2 crystal, from the Alexandria database.

Summary:
As for the uncorrected formation energy: -427 meV per atom. The value obtained for the calculated volume is 15.65 A^3/atom. As for the total energy: -59.10 eV/cell.

abc: 5.615 5.615 5.615
angles: 60.00 60.00 60.00
Sites, in units of the cell vectors:
Rb (0.125, 0.125, 0.125)
Rb (0.875, 0.875, 0.875)
Mn (0.375, 0.375, 0.375)
Mn (0.625, 0.625, 0.625)
N (0.000, 0.500, 0.500)
N (0.500, 0.000, 0.500)
N (0.500, 0.500, 0.000)
N (0.500, 0.500, 0.500)


No. 12
The following is a GGA-PBEsol calculation of a relaxed RbMn2N2 crystal, from the Alexandria database.

Summary:
As for the uncorrected formation energy: -115 meV per atom. The value obtained for the calculated volume is 17.42 A^3/atom. As for the total energy: -38.18 eV/cell.

abc: 6.539 6.539 6.539
angles: 145.99 145.99 48.87
Sites, in units of the cell vectors:
Rb (0.000, 0.000, 0.000)
Mn (0.274, 0.274, 0.000)
Mn (0.726, 0.726, 0.000)
N (0.250, 0.750, 0.500)
N (0.750, 0.250, 0.500)